Material: SrSm3Mn4O12
Method: DFT, PBE with a Hubbard U
State: relaxed

Summary:
DOS(E_F): 0.13 states/eV per atom
Electronic total energy: -154.218 eV for the cell shown

Structure (POSCAR):
```
SrSm3Mn4O12
1.0
5.4696 0.0000 0.0000
0.0000 7.7412 0.0000
-0.0142 0.0000 5.6452
Sr Sm Mn O
1 3 4 12
Direct
0.0000 0.0000 0.0000 Sr
0.0218 0.5000 0.0999 Sm
0.4963 0.5000 0.5952 Sm
0.5226 0.0000 0.4844 Sm
0.0063 0.2501 0.5437 Mn
0.0063 0.7499 0.5437 Mn
0.5106 0.2505 0.0396 Mn
0.5106 0.7495 0.0396 Mn
0.0997 0.0000 0.5518 O
0.2192 0.3032 0.8328 O
0.2192 0.6968 0.8328 O
0.2927 0.3003 0.3340 O
0.2927 0.6997 0.3340 O
0.4442 0.0000 0.0709 O
0.6008 0.5000 0.0121 O
0.7075 0.2106 0.7346 O
0.7075 0.7894 0.7346 O
0.7917 0.2161 0.2567 O
0.7917 0.7839 0.2567 O
0.9203 0.5000 0.5197 O
```